[1]
AsIr2Br: PBEsol geometry, meta-GGA SCAN.

The density is 13.7 g cm⁻³. The calculated volume comes out at 196 Å³/cell. The formation energy (no corrections) is 0.542 eV per atom. As for the distance to the lowest polymorph of the same formula: 14 meV/atom. Its magnetic moment is 0.0 μB/cell.

The structure belongs to space group R-3m (No. 166, hexagonal axes); the cell edges are 3.0715, 3.0715 and 23.9457 Å and the angles 90.00°, 90.00° and 120.00°. Symmetry generates all atoms from As at (0.0000, 0.0000, 0.0000), Ir at (0.0000, 0.0000, 0.2610) and Br at (0.0000, 0.0000, 0.5000).

[2]
AsIr2Br: PBEsol geometry, meta-GGA SCAN.

The density is 13.8 g cm⁻³. The calculated volume comes out at 260 Å³/cell. The formation energy (no corrections) is 1.098 eV per atom. As for the distance to the lowest polymorph of the same formula: 570 meV/atom. Its magnetic moment is 0.0 μB/cell.

The structure belongs to space group F-43m (No. 216); the cell edges are 6.385, 6.385 and 6.385 Å and the angles 90.00°, 90.00° and 90.00°. Symmetry generates all atoms from As at (0.000, 0.000, 0.000), Ir at (0.000, 0.000, 0.500), Ir at (0.250, 0.250, 0.250) and Br at (0.250, 0.250, 0.750).

[3]
AsIr2Br: PBEsol geometry, meta-GGA SCAN.

The density is 12.6 g cm⁻³. The calculated volume comes out at 71 Å³/cell. The formation energy (no corrections) is 0.528 eV per atom. As for the distance to the lowest polymorph of the same formula: 0 meV/atom. Its magnetic moment is 1.1 μB/cell.

The structure belongs to space group P4mm (No. 99); the cell edges are 2.912, 2.912 and 8.361 Å and the angles 90.00°, 90.00° and 90.00°. Symmetry generates all atoms from As at (0.000, 0.000, 0.000), Ir at (0.000, 0.000, 0.594), Ir at (0.500, 0.500, 0.812) and Br at (0.500, 0.500, 0.368).

[4]
AsIr2Br: PBEsol geometry, meta-GGA SCAN.

The density is 10.8 g cm⁻³. The calculated volume comes out at 331 Å³/cell. The formation energy (no corrections) is 0.645 eV per atom. As for the distance to the lowest polymorph of the same formula: 117 meV/atom. Its magnetic moment is 0.0 μB/cell.

The structure belongs to space group I-42d (No. 122); the cell edges are 6.042, 6.042 and 9.062 Å and the angles 90.00°, 90.00° and 90.00°. Symmetry generates all atoms from As at (0.000, 0.000, 0.000), Ir at (0.229, 0.750, 0.125) and Br at (0.000, 0.000, 0.500).

[5]
LiAs2IrBr: PBEsol geometry, meta-GGA SCAN.

The density is 8.3 g cm⁻³. The calculated volume comes out at 86 Å³/cell. The formation energy (no corrections) is 1.058 eV per atom. Its magnetic moment is 0.0 μB/cell.

The structure belongs to space group P4/mmm (No. 123); the cell edges are 4.338, 4.338 and 4.586 Å and the angles 90.00°, 90.00° and 90.00°. Symmetry generates all atoms from Li at (0.000, 0.000, 0.000), As at (0.000, 0.500, 0.000), Ir at (0.500, 0.500, 0.500) and Br at (0.000, 0.000, 0.500).

[6]
NbAsIrBr2: PBEsol geometry, meta-GGA SCAN.

The density is 7.2 g cm⁻³. The calculated volume comes out at 120 Å³/cell. The formation energy (no corrections) is 0.867 eV per atom. Its magnetic moment is 3.3 μB/cell.

The structure belongs to space group P4/mmm (No. 123); the cell edges are 5.096, 5.096 and 4.604 Å and the angles 90.00°, 90.00° and 90.00°. Symmetry generates all atoms from Nb at (0.000, 0.000, 0.000), As at (0.500, 0.500, 0.000), Ir at (0.500, 0.500, 0.500) and Br at (0.000, 0.500, 0.500).

Question: Which formula does entry 3 have?
Answer: AsIr2Br

Question: Which formula does entry 5 have?
Answer: LiAs2IrBr

Repeat the fourth record exactly.
AsIr2Br: PBEsol geometry, meta-GGA SCAN.

The density is 10.8 g cm⁻³. The calculated volume comes out at 331 Å³/cell. The formation energy (no corrections) is 0.645 eV per atom. As for the distance to the lowest polymorph of the same formula: 117 meV/atom. Its magnetic moment is 0.0 μB/cell.

The structure belongs to space group I-42d (No. 122); the cell edges are 6.042, 6.042 and 9.062 Å and the angles 90.00°, 90.00° and 90.00°. Symmetry generates all atoms from As at (0.000, 0.000, 0.000), Ir at (0.229, 0.750, 0.125) and Br at (0.000, 0.000, 0.500).